# Sm3ReO7, PBEsol geometry, DFT meta-GGA SCAN
# - density of states at the Fermi level (states/eV per atom) = 0.228
# - formation energy without anion corrections (meV/atom) = -3122
# - total DFT energy (no corrections) (eV/atom) = -25.671
# - size of the total moment (μB/atom) = 0.18
data_Sm3ReO7
_cell_length_a 10.709
_cell_length_b 7.353
_cell_length_c 7.473
_cell_angle_alpha 90.00
_cell_angle_beta 90.00
_cell_angle_gamma 90.00
_space_group_name_H-M_alt 'C m c m'
_space_group_IT_number 63
_space_group_name_Hall '-C 2c 2'
loop_
_atom_site_label
_atom_site_fract_x
_atom_site_fract_y
_atom_site_fract_z
_atom_site_occupancy
Sm1 0.000 0.000 0.000 1
Sm2 0.227 0.299 0.250 1
Re1 0.000 0.500 0.000 1
O1 0.000 0.449 0.250 1
O2 0.127 0.307 0.533 1
O3 0.131 0.026 0.250 1